Entry 1:
The following is a DFT calculation (GGA-PBEsol) of a relaxed Ag3Pt2 crystal.

Cell lengths 4.8477, 5.6055, 6.3417 Å; angles 102.60, 97.75, 106.31 degrees
Sites, in units of the cell vectors:
Ag1 0.7952 0.8467 0.6013
Ag2 0.6032 0.9535 0.1992
Ag3 0.3968 0.0465 0.8008
Ag4 0.2048 0.1533 0.3987
Ag5 0.7976 0.3516 0.6015
Ag6 0.2024 0.6484 0.3985
Pt1 0.0078 0.2533 0.0010
Pt2 0.6078 0.4513 0.1919
Pt3 0.3922 0.5487 0.8081
Pt4 0.9922 0.7467 0.9990

Computed properties:
D(E_F) ... 2.7 states/eV/f.u.
Density ... 15.018 Mg/m³
Energy of formation from the pure elements ... 0.02 eV/atom
Crystal system ... triclinic
Polymorph energy (0 for the lowest one) ... 59 meV per atom

=====

Entry 2:
The following is a DFT calculation (GGA-PBEsol) of a relaxed Ag3Pt7 crystal.

Cell lengths 3.9447, 3.9750, 9.9634 Å; angles 90.00, 101.42, 90.00 degrees
Sites, in units of the cell vectors:
Pt1 0.7998 0.0000 0.5995
Pt2 0.6993 0.5000 0.3986
Pt3 0.5005 0.5000 0.0011
Pt4 0.3976 0.0000 0.7952
Pt5 0.2987 0.5000 0.5974
Pt6 0.2024 0.0000 0.4048
Pt7 0.1017 0.5000 0.2034
Ag1 0.9997 0.0000 0.9993
Ag2 0.9006 0.5000 0.8012
Ag3 0.5998 0.0000 0.1996

Computed properties:
D(E_F) ... 11.4 states/eV/f.u.
Density ... 18.316 Mg/m³
Energy of formation from the pure elements ... 0.05 eV/atom
Crystal system ... orthorhombic

=====

Entry 3:
The following is a DFT calculation (GGA-PBEsol) of a relaxed Ag3Pt2 crystal.

Cell lengths 2.7743, 4.0784, 7.3896 Å; angles 106.02, 100.82, 90.00 degrees
Sites, in units of the cell vectors:
Pt1 0.5986 0.5986 0.1972
Pt2 0.4014 0.4014 0.8028
Ag1 0.8007 0.8007 0.6014
Ag2 0.1993 0.1993 0.3986
Ag3 0.0000 0.0000 0.0000

Computed properties:
D(E_F) ... 2.2 states/eV/f.u.
Density ... 15.038 Mg/m³
Energy of formation from the pure elements ... 0.04 eV/atom
Crystal system ... orthorhombic
Polymorph energy (0 for the lowest one) ... 84 meV per atom